No. 1
Compound: BeTl2O
Source: Alexandria via LeMat-Bulk
Functional: GGA-PBE
Structure: relaxed

Output
Symmetry: I-42d, No. 122
Formation energy from raw total energies, eV/atom: 0.13
Excess energy over the best structure of this formula in the dataset, meV/atom: 0

Cell: 5.9090 5.9090 6.5417 Å, 63.15 63.15 90.00°
With the nearest neighbours (Å) after each atom.
Atoms (fractional coordinates):
Be1 0.5000 0.5000 0.0000  4 Tl 2.51
Be2 0.2500 0.7500 0.5000  4 Tl 2.51
Tl1 0.6436 0.1250 0.2500  2 O 2.37, 2 Be 2.51
Tl2 0.1064 0.6250 0.2500  2 O 2.37, 2 Be 2.51
Tl3 0.3750 0.3564 0.7500  2 O 2.37, 2 Be 2.51
Tl4 0.8750 0.8936 0.7500  2 O 2.37, 2 Be 2.51
O1 0.0000 0.0000 0.0000  4 Tl 2.37
O2 0.7500 0.2500 0.5000  4 Tl 2.37


No. 2
Compound: Li15AlAg4
Source: Alexandria via LeMat-Bulk
Functional: GGA-PBE
Structure: relaxed

Output
Symmetry: P4/mmm, No. 123
Calculated formation energy, eV per atom: -0.1153

Cell: 4.1571 4.1571 19.6003 Å, 90.00 90.00 90.00°
With the nearest neighbours (Å) after each atom.
Atoms (fractional coordinates):
Li1 0.5000 0.5000 0.0000  8 Li 2.86, 4 Al 2.94
Li2 0.5000 0.5000 0.2000  8 Li 2.84-2.86, 4 Ag 2.94
Li3 0.5000 0.5000 0.4001  8 Li 2.86-2.88, 4 Ag 2.94
Li4 0.5000 0.5000 0.5999  8 Li 2.86-2.88, 4 Ag 2.94
Li5 0.5000 0.5000 0.8000  8 Li 2.84-2.86, 4 Ag 2.94
Li6 0.5000 0.0000 0.0999  2 Ag 2.84, 8 Li 2.86-2.94, 2 Al 2.86
Li7 0.5000 0.0000 0.2986  8 Li 2.84-2.94, 4 Ag 2.86-2.87
Li8 0.5000 0.0000 0.5000  8 Li 2.86-2.94, 4 Ag 2.86
Li9 0.5000 0.0000 0.7014  8 Li 2.84-2.94, 4 Ag 2.86-2.87
Li10 0.5000 0.0000 0.9001  2 Ag 2.84, 8 Li 2.86-2.94, 2 Al 2.86
Li11 0.0000 0.5000 0.0999  2 Ag 2.84, 8 Li 2.86-2.94, 2 Al 2.86
Li12 0.0000 0.5000 0.2986  8 Li 2.84-2.94, 4 Ag 2.86-2.87
Li13 0.0000 0.5000 0.5000  8 Li 2.86-2.94, 4 Ag 2.86
Li14 0.0000 0.5000 0.7014  8 Li 2.84-2.94, 4 Ag 2.86-2.87
Li15 0.0000 0.5000 0.9001  2 Ag 2.84, 8 Li 2.86-2.94, 2 Al 2.86
Al1 0.0000 0.0000 0.0000  12 Li 2.86-2.94
Ag1 0.0000 0.0000 0.1986  12 Li 2.84-2.94
Ag2 0.0000 0.0000 0.3998  12 Li 2.86-2.94
Ag3 0.0000 0.0000 0.6002  12 Li 2.86-2.94
Ag4 0.0000 0.0000 0.8014  12 Li 2.84-2.94


No. 3
Compound: AcCe2Lu
Source: Alexandria via LeMat-Bulk
Functional: GGA-PBE
Structure: relaxed

Output
Symmetry: Fm-3m, No. 225
Excess energy over the best structure of this formula in the dataset, meV/atom: 158
Calculated formation energy, eV per atom: 0.3084

Cell: 5.8015 5.8015 5.8015 Å, 60.00 60.00 60.00°
With the nearest neighbours (Å) after each atom.
Atoms (fractional coordinates):
Ac1 0.5000 0.5000 0.5000  8 Ce 3.55
Lu1 0.0000 0.0000 0.0000  8 Ce 3.55
Ce1 0.2500 0.2500 0.2500  4 Lu 3.55, 4 Ac 3.55
Ce2 0.7500 0.7500 0.7500  4 Lu 3.55, 4 Ac 3.55


| no. | final energy (eV per formula unit) |
| --- | --- |
| 1 | -12.9 |
| 2 | -46.2 |
| 3 | -19.3 |